No. 1
VASP calculation (PBE) on a relaxed structure of Zr2CrHgN.

CIF file:
```
data_Zr2CrHgN
_chemical_formula_sum 'Zr2 Cr1 Hg1 N1'
_symmetry_space_group_name_H-M 'P 1'
_symmetry_Int_Tables_number 1
_cell_length_a 4.653
_cell_length_b 4.653
_cell_length_c 3.766
_cell_angle_alpha 90.00
_cell_angle_beta 90.00
_cell_angle_gamma 90.00
loop_
_symmetry_equiv_pos_as_xyz
'x,y,z'
loop_
_atom_site_label
_atom_site_type_symbol
_atom_site_fract_x
_atom_site_fract_y
_atom_site_fract_z
_atom_site_occupancy
Zr1 Zr 0.000 0.500 0.000 1
Zr2 Zr 0.500 0.000 0.000 1
Cr1 Cr 0.000 0.000 0.500 1
Hg1 Hg 0.500 0.500 0.500 1
N1 N 0.000 0.000 0.000 1
```

Values from the calculation:
Volume ... 81.5 Å³ per cell
Energy relative to the elements, uncorrected ... -610 meV/atom



No. 2
VASP calculation (PBE) on a relaxed structure of Na2CrHg2.

CIF file:
```
data_Na2CrHg2
_chemical_formula_sum 'Na4 Cr2 Hg4'
_symmetry_space_group_name_H-M 'P 1'
_symmetry_Int_Tables_number 1
_cell_length_a 8.618
_cell_length_b 8.618
_cell_length_c 2.953
_cell_angle_alpha 90.00
_cell_angle_beta 90.00
_cell_angle_gamma 90.00
loop_
_symmetry_equiv_pos_as_xyz
'x,y,z'
loop_
_atom_site_label
_atom_site_type_symbol
_atom_site_fract_x
_atom_site_fract_y
_atom_site_fract_z
_atom_site_occupancy
Na1 Na 0.126 0.374 0.000 1
Na2 Na 0.374 0.874 0.000 1
Na3 Na 0.626 0.126 0.000 1
Na4 Na 0.874 0.626 0.000 1
Cr1 Cr 0.000 0.000 0.000 1
Cr2 Cr 0.500 0.500 0.000 1
Hg1 Hg 0.174 0.674 0.500 1
Hg2 Hg 0.326 0.174 0.500 1
Hg3 Hg 0.674 0.826 0.500 1
Hg4 Hg 0.826 0.326 0.500 1
```

Values from the calculation:
Volume ... 219.3 Å³ per cell
Polymorph energy (0 for the lowest one) ... 0.294 eV per atom
ΔE_f ... 0.72 eV per atom



volume of number 1 (Zr2CrHgN)? 81.5 Å³ per cell



The lowest volume belongs to which entry? Zr2CrHgN